! TlAgTeO3 GGA-PBEsol relaxed; values from VASP
! density: 7.9 g cm⁻³
! formation energy from raw total energies: -0.70 eV/atom
&SYSTEM
  ibrav = 0, nat = 24, ntyp = 4
/
ATOMIC_SPECIES
Tl 204.38 Tl.upf
Ag 107.87 Ag.upf
Te 127.60 Te.upf
O 16.00 O.upf
CELL_PARAMETERS angstrom
-5.5586 7.4293 2.4981
5.5586 -7.4293 2.4981
5.5586 7.4293 -2.4981
ATOMIC_POSITIONS angstrom
Tl 1.3013 1.3610 0.0000
Tl 1.3013 -1.3610 2.4981
Tl 4.2573 8.7903 0.0000
Tl 4.2573 6.0684 2.4981
Ag 4.3174 -3.8633 2.6556
Ag 4.3174 3.8633 0.1575
Ag 1.2412 3.5660 2.6556
Ag 1.2412 11.2927 0.1575
Te 7.0306 1.5479 0.2029
Te 1.4719 5.8815 0.2029
Te 4.0867 1.5479 2.7010
Te -1.4719 5.8815 2.7010
O 3.9347 1.5306 -0.3975
O 8.9002 1.5286 -0.1476
O 6.7472 3.4179 0.0484
O 1.1885 4.0115 0.0484
O 3.9347 -1.5306 2.1006
O 3.3416 5.9008 -0.1476
O 1.6239 8.9599 -0.3975
O 2.2171 1.5286 2.3505
O 4.3701 3.4179 2.5465
O -1.1885 4.0115 2.5465
O 1.6239 5.8988 2.1006
O -3.3416 5.9008 2.3505

***

! VAgTeO5 GGA-PBEsol relaxed; values from VASP
! density: 5.7 g cm⁻³
! formation energy from raw total energies: -1.42 eV/atom
&SYSTEM
  ibrav = 0, nat = 32, ntyp = 4
/
ATOMIC_SPECIES
V 50.94 V.upf
Ag 107.87 Ag.upf
Te 127.60 Te.upf
O 16.00 O.upf
CELL_PARAMETERS angstrom
5.5862 0.0000 0.0000
0.0000 11.5301 0.0000
-1.2312 0.0000 6.6646
ATOMIC_POSITIONS angstrom
V 0.5163 1.4162 2.7756
V -0.0993 4.3489 6.1079
V 4.4543 7.1812 0.5567
V 3.8387 10.1139 3.8890
Ag 0.6583 8.3100 5.2458
Ag 1.2739 8.9851 1.9136
Ag 3.0811 2.5449 4.7510
Ag 3.6967 3.2201 1.4187
Te 0.3262 0.7500 6.0138
Te 0.9418 5.0150 2.6815
Te 3.4132 6.5151 3.9831
Te 4.0288 10.7800 0.6508
O 0.2540 7.9671 0.0769
O -0.3616 9.3280 3.4092
O 0.1529 0.3032 1.4559
O -0.4627 5.4618 4.7882
O 1.1544 0.5771 4.2519
O 1.7700 5.1879 0.9197
O 1.6062 2.5700 2.2140
O 0.9906 3.1951 5.5463
O 1.5210 6.8200 3.1791
O 0.9054 10.4751 6.5114
O 3.4496 1.0550 0.1532
O 2.8340 4.7101 3.4855
O 3.3644 8.3350 1.1182
O 2.7488 8.9601 4.4505
O 2.5850 6.3421 5.7449
O 3.2006 10.9530 2.4126
O 4.8177 6.0683 1.8764
O 4.2021 11.2268 5.2086
O 4.7166 2.2021 3.2554
O 4.1010 3.5630 6.5877

***

! TiAg2O3 GGA-PBEsol relaxed; values from VASP
! density: 6.6 g cm⁻³
! formation energy from raw total energies: -1.52 eV/atom
&SYSTEM
  ibrav = 0, nat = 24, ntyp = 3
/
ATOMIC_SPECIES
Ti 47.87 Ti.upf
Ag 107.87 Ag.upf
O 16.00 O.upf
CELL_PARAMETERS angstrom
8.4358 -3.8622 0.0000
8.4358 3.8622 0.0000
-1.2803 0.0000 4.7895
ATOMIC_POSITIONS angstrom
Ti 6.0123 2.9087 4.2291
Ti 8.9387 2.9087 2.9551
Ti 6.6525 -2.9087 1.8344
Ti 9.5789 -2.9087 0.5603
Ag 3.3047 0.9984 3.5156
Ag 6.0699 0.7433 2.0966
Ag 3.9448 -0.9984 1.1208
Ag 5.4298 -0.7433 4.4913
Ag 10.1614 0.7433 0.2982
Ag 11.6464 0.9984 3.6687
Ag 9.5213 -0.7433 2.6929
Ag 12.2866 -0.9984 1.2739
O 1.6820 0.5322 2.3438
O 8.1157 3.3180 1.1974
O 4.9176 1.5123 4.7099
O 1.0419 -0.5322 4.7385
O 7.4755 1.7824 3.5921
O 10.0335 1.5123 2.4743
O 5.5577 -1.5123 2.3152
O 8.1157 -1.7824 1.1974
O 14.5494 0.5322 0.0509
O 10.6736 -1.5123 0.0795
O 7.4755 -3.3180 3.5921
O 13.9092 -0.5322 2.4457

***

! Ti3AgO GGA-PBEsol relaxed; values from VASP
! density: 6.5 g cm⁻³
! formation energy from raw total energies: -1.14 eV/atom
&SYSTEM
  ibrav = 0, nat = 5, ntyp = 3
/
ATOMIC_SPECIES
Ti 47.87 Ti.upf
Ag 107.87 Ag.upf
O 16.00 O.upf
CELL_PARAMETERS angstrom
4.0938 0.0000 0.0000
0.0000 4.0938 0.0000
0.0000 0.0000 4.0938
ATOMIC_POSITIONS angstrom
Ti 0.0000 0.0000 2.0469
Ti 0.0000 2.0469 0.0000
Ti 2.0469 0.0000 0.0000
Ag 2.0469 2.0469 2.0469
O 0.0000 0.0000 0.0000

***

! TlAgO2 GGA-PBEsol relaxed; values from VASP
! density: 8.9 g cm⁻³
! formation energy from raw total energies: -0.46 eV/atom
&SYSTEM
  ibrav = 0, nat = 8, ntyp = 3
/
ATOMIC_SPECIES
Tl 204.38 Tl.upf
Ag 107.87 Ag.upf
O 16.00 O.upf
CELL_PARAMETERS angstrom
3.4252 0.0000 0.0000
-1.7126 2.9663 0.0000
0.0000 0.0000 12.7105
ATOMIC_POSITIONS angstrom
Tl 0.0000 0.0000 0.0000
Tl 0.0000 0.0000 6.3552
Ag 0.0000 1.9776 3.1776
Ag 1.7126 0.9888 9.5329
O 0.0000 1.9776 1.1342
O 0.0000 1.9776 5.2211
O 1.7126 0.9888 7.4894
O 1.7126 0.9888 11.5763

***

! TmAgW2O8 GGA-PBEsol relaxed; values from VASP
! density: 8.7 g cm⁻³
! formation energy from raw total energies: -2.25 eV/atom
&SYSTEM
  ibrav = 0, nat = 24, ntyp = 4
/
ATOMIC_SPECIES
Tm 168.93 Tm.upf
Ag 107.87 Ag.upf
W 183.84 W.upf
O 16.00 O.upf
CELL_PARAMETERS angstrom
4.8907 -5.3087 0.0000
4.8907 5.3087 0.0000
-4.2947 0.0000 5.6733
ATOMIC_POSITIONS angstrom
Tm 4.8907 3.2605 0.0000
Tm 4.8907 -3.2605 0.0000
Ag -0.4466 0.0000 2.9562
Ag 5.9334 0.0000 2.7172
W 2.7323 0.0000 0.1396
W 2.7434 1.7629 2.8367
W 2.7434 -1.7629 2.8367
W 2.7545 0.0000 5.5337
O -3.1761 0.0000 4.8793
O 1.6161 1.3253 1.3673
O 1.6144 2.8406 3.6991
O -0.6656 1.4086 5.1585
O 3.8724 2.8406 1.9742
O 1.6161 -1.3253 1.3673
O -0.6656 -1.4086 5.1585
O 1.8174 0.0000 3.7507
O 3.6694 0.0000 1.9226
O 6.1523 1.4086 0.5148
O 3.8707 1.3253 4.3060
O 1.6144 -2.8406 3.6991
O 6.1523 -1.4086 0.5148
O 3.8724 -2.8406 1.9742
O 3.8707 -1.3253 4.3060
O 8.6628 0.0000 0.7940

***

! V4Ag2O11 GGA-PBEsol relaxed; values from VASP
! density: 5.0 g cm⁻³
! formation energy from raw total energies: -1.91 eV/atom
&SYSTEM
  ibrav = 0, nat = 17, ntyp = 3
/
ATOMIC_SPECIES
V 50.94 V.upf
Ag 107.87 Ag.upf
O 16.00 O.upf
CELL_PARAMETERS angstrom
7.5248 -1.7746 0.0000
7.5248 1.7746 0.0000
-5.4601 0.0000 7.4366
ATOMIC_POSITIONS angstrom
V -0.2674 0.0000 3.1643
V 0.6528 0.0000 6.3536
V 8.9367 0.0000 1.0831
V 9.8569 0.0000 4.2724
Ag 4.3227 0.0000 2.1654
Ag 5.2668 0.0000 5.2713
O -1.7013 0.0000 2.3555
O 1.1378 0.0000 1.6061
O -0.8007 0.0000 4.8344
O -0.5555 0.0000 7.4151
O 1.7991 0.0000 4.3621
O 7.5248 0.0000 0.0000
O 7.7904 0.0000 3.0745
O 10.1450 0.0000 0.0215
O 10.3902 0.0000 2.6022
O 8.4517 0.0000 5.8305
O 11.2908 0.0000 5.0812

***

! V4Ag3O12 GGA-PBEsol relaxed; values from VASP
! density: 5.0 g cm⁻³
! formation energy from raw total energies: -1.71 eV/atom
&SYSTEM
  ibrav = 0, nat = 38, ntyp = 3
/
ATOMIC_SPECIES
V 50.94 V.upf
Ag 107.87 Ag.upf
O 16.00 O.upf
CELL_PARAMETERS angstrom
7.0759 0.0000 0.0000
3.2833 8.0215 0.0000
1.4580 2.0293 8.4094
ATOMIC_POSITIONS angstrom
V 0.0000 0.0000 0.0000
V 3.2691 7.1865 3.2080
V 3.2177 4.5639 7.5528
V 1.7783 1.6666 2.2819
V 6.8024 7.9842 0.0507
V 6.8370 7.1869 3.2239
V 6.7766 4.5235 7.5155
V 5.3151 1.6396 2.2822
Ag 3.3524 1.8246 5.3922
Ag 4.9188 5.1263 1.0790
Ag 5.0224 4.6649 4.6402
Ag 8.5430 7.0228 6.0824
Ag 6.9370 1.8277 5.3758
Ag 8.5873 4.5960 4.4964
O 4.7381 9.4280 6.8753
O 1.7725 2.9482 1.2424
O 1.8117 2.3393 3.8304
O 3.4102 6.6909 1.0440
O 3.3586 5.5167 3.4507
O 3.2457 3.9363 5.8878
O 1.7841 0.5837 0.1887
O 5.0620 7.6155 2.9667
O 5.0057 4.2126 7.8328
O 3.5421 1.0511 2.1149
O 6.9801 7.8106 4.8323
O 8.2542 9.4141 6.8921
O 6.9739 6.1720 7.3209
O 6.6949 6.6384 1.0291
O 5.3025 2.9936 1.2878
O 5.3198 2.2621 3.8324
O 6.7858 5.5259 3.4917
O 6.7714 3.9516 5.8577
O 5.2878 0.5571 0.2027
O 8.5869 7.5178 2.7414
O 8.5267 4.0328 7.8684
O 7.0836 1.0658 2.1484
O 10.1683 7.7751 4.8161
O 10.0581 6.1699 7.2798

***

! V6AgO15 GGA-PBEsol relaxed; values from VASP
! density: 4.2 g cm⁻³
! formation energy from raw total energies: -2.16 eV/atom
&SYSTEM
  ibrav = 0, nat = 44, ntyp = 3
/
ATOMIC_SPECIES
V 50.94 V.upf
Ag 107.87 Ag.upf
O 16.00 O.upf
CELL_PARAMETERS angstrom
7.1690 0.0000 0.0000
-1.7989 7.7022 0.0000
-0.0065 -3.6186 9.3890
ATOMIC_POSITIONS angstrom
V -0.0222 1.0667 3.7041
V 0.0046 2.9561 0.8296
V -0.0080 4.4874 3.5899
V 1.7854 -0.4003 5.7517
V 1.7915 1.1370 8.5417
V 1.7671 3.0413 5.6965
V 3.5965 1.0423 3.6925
V 3.5721 2.9466 0.8472
V 3.5782 4.4839 3.6373
V 5.3715 -0.4038 5.7990
V 5.3590 1.1275 8.5594
V 5.3857 3.0169 5.6848
Ag 1.7869 -3.1352 8.3964
Ag 3.5767 7.2188 0.9925
O -0.1666 -0.0400 2.5487
O 0.0666 1.4695 0.2077
O -0.0126 0.0066 5.3740
O -0.0047 2.6176 2.6045
O -0.0077 0.6367 8.7015
O 0.0020 2.7905 5.2093
O -0.0153 5.1454 2.1319
O -0.0086 5.8873 4.7077
O 1.7763 -1.0103 7.2561
O 1.7922 1.1792 4.1132
O 1.7904 3.4906 0.7058
O 1.7864 1.4924 6.7697
O 1.7790 4.0762 4.0069
O 1.6334 4.1605 6.8367
O 1.8548 2.6234 9.1660
O 3.5088 1.4602 0.2229
O 3.7302 -0.0769 2.5523
O 3.5846 0.0074 5.3820
O 3.5772 2.5912 2.6192
O 3.5731 0.5930 8.6831
O 3.5714 2.9044 5.2757
O 3.5873 5.0938 2.1329
O 5.3721 -1.8037 4.6812
O 5.3789 -1.0618 7.2571
O 5.3615 1.2931 4.1796
O 5.3713 3.4469 0.6874
O 5.3683 1.4660 6.7844
O 5.3762 4.0770 4.0150
O 5.2970 2.6141 9.1812
O 5.5302 4.1236 6.8403

***

! Zn2AgWO6 GGA-PBEsol relaxed; values from VASP
! density: 7.1 g cm⁻³
! distance to the lowest polymorph of the same formula: 0 meV/atom
! formation energy from raw total energies: -1.37 eV/atom
&SYSTEM
  ibrav = 0, nat = 10, ntyp = 4
/
ATOMIC_SPECIES
Zn 65.41 Zn.upf
Ag 107.87 Ag.upf
W 183.84 W.upf
O 16.00 O.upf
CELL_PARAMETERS angstrom
5.1033 -2.7052 0.0000
5.1033 2.7052 0.0000
-2.3537 0.0000 4.3779
ATOMIC_POSITIONS angstrom
Zn 2.1392 0.0000 0.7566
Zn 5.7138 0.0000 3.6213
Ag 5.1033 0.0000 0.0000
W -1.1769 0.0000 2.1890
O 3.6611 1.3462 0.7898
O 0.6563 0.0000 1.9043
O 4.1918 1.3462 3.5881
O 3.6611 -1.3462 0.7898
O 7.1966 0.0000 2.4736
O 4.1918 -1.3462 3.5881

***

! Zn2AgWO6 GGA-PBEsol relaxed; values from VASP
! density: 7.7 g cm⁻³
! distance to the lowest polymorph of the same formula: 14 meV/atom
! formation energy from raw total energies: -1.35 eV/atom
&SYSTEM
  ibrav = 0, nat = 20, ntyp = 4
/
ATOMIC_SPECIES
Zn 65.41 Zn.upf
Ag 107.87 Ag.upf
W 183.84 W.upf
O 16.00 O.upf
CELL_PARAMETERS angstrom
5.1827 0.0000 0.0000
0.0000 5.1476 0.0000
-4.7828 0.0000 8.4377
ATOMIC_POSITIONS angstrom
Zn -0.0187 0.0792 2.0100
Zn -2.4101 2.4946 6.2288
Zn 2.8100 2.6530 2.2089
Zn 0.4186 5.0684 6.4277
Ag -2.3914 0.0000 4.2188
Ag 0.0000 2.5738 0.0000
W 2.5914 0.0000 0.0000
W 0.1999 2.5738 4.2188
O -2.9295 0.6572 6.7398
O -0.5380 1.9166 2.5210
O -1.4617 3.3902 4.6800
O 0.9297 4.3312 0.4612
O -0.4691 0.9797 5.0495
O 1.9223 1.5941 0.8307
O -1.5224 3.5535 7.6070
O 0.8690 4.1679 3.3882
O -0.5298 0.8164 7.9765
O 1.8616 1.7574 3.7576
O 0.9379 3.2310 5.9167
O 3.3293 4.4904 1.6978

***

! Y3AgO GGA-PBEsol relaxed; values from VASP
! density: 6.3 g cm⁻³
! formation energy from raw total energies: -1.30 eV/atom
&SYSTEM
  ibrav = 0, nat = 5, ntyp = 3
/
ATOMIC_SPECIES
Y 88.91 Y.upf
Ag 107.87 Ag.upf
O 16.00 O.upf
CELL_PARAMETERS angstrom
4.6818 0.0000 0.0000
0.0000 4.6818 0.0000
0.0000 0.0000 4.6818
ATOMIC_POSITIONS angstrom
Y 0.0000 0.0000 2.3409
Y 0.0000 2.3409 0.0000
Y 2.3409 0.0000 0.0000
Ag 2.3409 2.3409 2.3409
O 0.0000 0.0000 0.0000